## Li7Mn2Co3O12 (PBE with a Hubbard U)

Data for a geometry-optimized Li7Mn2Co3O12 structure. Values from VASP.

## Properties
E_tot (hartree per atom): -0.2141
Mass density (Mg/m³): 4.07
Total magnetic moment (μB per formula unit): 11.411
Symmetry: Cm
Energy relative to the lowest polymorph listed for this composition (meV per atom): 71.4

Geometry as Quantum ESPRESSO input:
```
&SYSTEM
  ibrav = 0, nat = 24, ntyp = 4
/
ATOMIC_SPECIES
Co 58.93 Co.upf
Li 6.94 Li.upf
O 16.00 O.upf
Mn 54.94 Mn.upf
ATOMIC_POSITIONS angstrom
Co 4.391 -9.200 16.857
Co 2.562 -5.042 14.315
Co 2.125 -4.435 8.412
Li 1.933 -4.185 5.560
Li 3.980 -8.658 10.914
Li 2.416 -4.910 11.379
Li 3.785 -8.406 8.028
Li 4.180 -8.917 13.872
Li 5.550 -12.415 10.537
Li 0.637 -0.874 8.762
O 3.376 -6.973 14.364
O 2.756 -6.175 5.091
O 1.414 -2.722 8.730
O 5.205 -11.146 16.681
O 1.137 -2.287 5.687
O 3.172 -6.735 10.952
O 1.029 -2.254 2.617
O 5.014 -10.923 13.543
O 1.535 -2.787 11.771
O 2.993 -6.500 8.342
O 4.786 -10.580 10.809
O 4.610 -10.393 7.631
Mn 0.429 -0.587 5.909
Mn 5.352 -12.163 7.537
CELL_PARAMETERS angstrom
1.353 -6.662 3.785
4.015 -5.541 3.703
0.796 -1.026 11.876
```